VASP calculation (PBE with a Hubbard U) on Fe2HgIrF after structural relaxation.

DFT total energy = -7.2 eV for the cell shown
N(E_F) = 21.0 states/eV per cell

abc: 6.773 6.773 6.771
angles: 90.00 90.00 90.00
Atoms (fractional coordinates):
Fe 0.000 0.500 0.000
Fe 0.500 0.000 0.000
Hg 0.000 0.000 0.000
Ir 0.000 0.000 0.500
F 0.500 0.500 0.500